(1)
A relaxed LiGa4I5 crystal. Source: Alexandria via LeMat-Bulk, functional GGA-PBE.

a = 6.597 Å, b = 7.987 Å, c = 7.987 Å
α = 80.18°, β = 65.61°, γ = 65.61°
Fractional positions:
1 Ga 0.397 0.400 0.801
2 Ga 0.199 0.199 0.400
3 Ga 0.599 0.600 0.199
4 Ga 0.797 0.801 0.600
5 I 0.484 0.000 0.000
6 I 0.718 0.182 0.377
7 I 0.094 0.623 0.182
8 I 0.277 0.818 0.623
9 I 0.900 0.377 0.818
10 Li 0.044 0.000 0.000

crystal system: tetragonal
symmetry: I4, No. 79
density of states at the Fermi level: 0.00 states/eV/f.u.
energy: -2.68 eV/atom


(2)
A relaxed CaY9Ho2 crystal. Source: Alexandria via LeMat-Bulk, functional GGA-PBE.

a = 5.074 Å, b = 5.074 Å, c = 15.238 Å
α = 90.00°, β = 90.00°, γ = 90.00°
Fractional positions:
1 Ca 0.000 0.000 0.000
2 Ho 0.000 0.000 0.335
3 Ho 0.000 0.000 0.665
4 Y 0.500 0.000 0.174
5 Y 0.500 0.500 0.334
6 Y 0.000 0.500 0.826
7 Y 0.000 0.500 0.500
8 Y 0.500 0.000 0.500
9 Y 0.500 0.000 0.826
10 Y 0.500 0.500 0.666
11 Y 0.500 0.500 0.000
12 Y 0.000 0.500 0.174

crystal system: tetragonal
symmetry: P4/mmm, No. 123
density of states at the Fermi level: 18.84 states/eV/f.u.
energy: -5.72 eV/atom


(3)
A relaxed La2MnRh crystal. Source: Alexandria via LeMat-Bulk, functional GGA-PBE.

a = 5.021 Å, b = 5.021 Å, c = 5.021 Å
α = 60.00°, β = 60.00°, γ = 60.00°
Fractional positions:
1 Mn 0.000 0.000 0.000
2 Rh 0.500 0.500 0.500
3 La 0.250 0.250 0.250
4 La 0.750 0.750 0.750

crystal system: cubic
symmetry: Fm-3m, No. 225
density of states at the Fermi level: 6.85 states/eV/f.u.
relative energy among the computed polymorphs: 0.339 eV per atom
energy: -6.51 eV/atom


(4)
A relaxed Li4Np3SnN8 crystal. Source: Alexandria via LeMat-Bulk, functional GGA-PBE.

a = 6.730 Å, b = 6.443 Å, c = 6.733 Å
α = 121.47°, β = 119.99°, γ = 90.00°
Last column: magnetic moment on the atom in μB.
Fractional positions:
1 Np 0.500 0.500 0.000  1.93
2 Np 0.000 0.500 0.500  1.93
3 Np 0.500 0.500 0.500  1.93
4 N 0.265 0.295 0.530  -0.11
5 N 0.756 0.281 0.511  -0.09
6 N 0.730 0.719 0.974  -0.09
7 N 0.735 0.705 0.470  -0.11
8 N 0.756 0.281 0.026  -0.09
9 N 0.244 0.719 0.974  -0.09
10 N 0.244 0.719 0.489  -0.09
11 N 0.270 0.281 0.026  -0.09
12 Li 0.000 0.000 0.000  0.00
13 Li 0.500 0.000 0.500  0.00
14 Li 0.500 0.000 0.000  0.00
15 Li 0.000 0.000 0.500  0.00
16 Sn 0.000 0.500 0.000  0.02

crystal system: trigonal
symmetry: R-3m, No. 166
density of states at the Fermi level: 12.68 states/eV/f.u.
energy: -7.98 eV/atom


(5)
A relaxed Th2UFe crystal. Source: Alexandria via LeMat-Bulk, functional GGA-PBE.

a = 3.280 Å, b = 3.280 Å, c = 10.701 Å
α = 81.18°, β = 81.18°, γ = 60.00°
Last column: magnetic moment on the atom in μB.
Fractional positions:
1 Th 0.098 0.098 0.705  -0.07
2 Th 0.902 0.902 0.295  -0.07
3 U 0.000 0.000 0.000  -1.88
4 Fe 0.500 0.500 0.500  1.76

crystal system: trigonal
symmetry: R-3m, No. 166
density of states at the Fermi level: 6.35 states/eV/f.u.
energy: -8.04 eV/atom


(6)
A relaxed BaPrPuO4 crystal. Source: Alexandria via LeMat-Bulk, functional GGA-PBE.

a = 4.247 Å, b = 4.247 Å, c = 7.541 Å
α = 106.36°, β = 106.36°, γ = 90.00°
Last column: magnetic moment on the atom in μB.
Fractional positions:
1 Pu 0.008 0.008 0.016  4.79
2 O 0.468 0.968 0.937  -0.08
3 O 0.836 0.836 0.671  -0.02
4 O 0.192 0.192 0.384  -0.01
5 O 0.968 0.468 0.937  -0.08
6 Ba 0.665 0.665 0.331  0.06
7 Pr 0.362 0.362 0.724  0.06

crystal system: tetragonal
symmetry: I4mm, No. 107
density of states at the Fermi level: 3.79 states/eV/f.u.
energy: -8.61 eV/atom


(7)
A relaxed PrErPd crystal. Source: Alexandria via LeMat-Bulk, functional GGA-PBE.

a = 3.884 Å, b = 7.095 Å, c = 6.590 Å
α = 73.92°, β = 72.84°, γ = 74.05°
Fractional positions:
1 Er 0.166 0.929 0.738
2 Er 0.834 0.071 0.262
3 Pr 0.594 0.624 0.189
4 Pr 0.406 0.376 0.811
5 Pd 0.865 0.694 0.576
6 Pd 0.135 0.306 0.424

crystal system: triclinic
symmetry: P-1, No. 2
density of states at the Fermi level: 3.25 states/eV/f.u.
relative energy among the computed polymorphs: 0.000 eV per atom
energy: -5.43 eV/atom


(8)
A relaxed KNa2TiBr6 crystal. Source: Alexandria via LeMat-Bulk, functional GGA-PBE.

a = 7.442 Å, b = 7.442 Å, c = 7.981 Å
α = 62.21°, β = 62.22°, γ = 60.02°
Last column: magnetic moment on the atom in μB.
Fractional positions:
1 Br 0.141 0.384 0.778  -0.01
2 Br 0.554 0.248 0.231  -0.01
3 Br 0.967 0.554 0.231  -0.01
4 Br 0.248 0.967 0.231  -0.01
5 Br 0.697 0.141 0.778  -0.01
6 Br 0.384 0.697 0.778  -0.01
7 Na 0.522 0.522 0.435  0.00
8 Na 0.007 0.007 0.978  0.00
9 K 0.814 0.814 0.559  0.00
10 Ti 0.328 0.328 0.017  0.92

crystal system: trigonal
symmetry: R3, No. 146
density of states at the Fermi level: 6.84 states/eV/f.u.
energy: -3.58 eV/atom


(9)
A relaxed YHf2ZrSe crystal. Source: Alexandria via LeMat-Bulk, functional GGA-PBE.

a = 4.982 Å, b = 5.239 Å, c = 4.982 Å
α = 90.00°, β = 90.00°, γ = 90.00°
Fractional positions:
1 Y 0.000 0.500 0.000
2 Se 0.000 0.000 0.000
3 Zr 0.500 0.500 0.500
4 Hf 0.500 0.000 0.000
5 Hf 0.000 0.000 0.500

crystal system: tetragonal
symmetry: P4/mmm, No. 123
density of states at the Fermi level: 7.25 states/eV/f.u.
energy: -7.72 eV/atom


(10)
A relaxed AlTePdI2 crystal. Source: Alexandria via LeMat-Bulk, functional GGA-PBE.

a = 5.502 Å, b = 5.502 Å, c = 5.387 Å
α = 90.00°, β = 90.00°, γ = 90.00°
Last column: magnetic moment on the atom in μB.
Fractional positions:
1 I 0.500 0.000 0.000  0.03
2 I 0.000 0.500 0.000  0.03
3 Te 0.000 0.000 0.500  0.14
4 Al 0.000 0.000 0.000  0.00
5 Pd 0.500 0.500 0.500  0.35

crystal system: tetragonal
symmetry: P4/mmm, No. 123
density of states at the Fermi level: 6.69 states/eV/f.u.
relative energy among the computed polymorphs: 0.229 eV per atom
energy: -2.62 eV/atom


(11)
A relaxed Al6CuTc crystal. Source: Alexandria via LeMat-Bulk, functional GGA-PBE.

a = 6.402 Å, b = 5.207 Å, c = 5.184 Å
α = 59.85°, β = 73.76°, γ = 56.17°
Fractional positions:
1 Al 0.246 0.709 0.479
2 Al 0.747 0.768 0.000
3 Al 0.754 0.812 0.479
4 Al 0.246 0.188 0.521
5 Al 0.253 0.232 0.000
6 Al 0.754 0.291 0.521
7 Tc 0.500 0.500 0.000
8 Cu 0.000 0.000 0.000

crystal system: monoclinic
symmetry: C2/m, No. 12
density of states at the Fermi level: 2.14 states/eV/f.u.
energy: -4.63 eV/atom


(12)
A relaxed NbSb2RhI crystal. Source: Alexandria via LeMat-Bulk, functional GGA-PBE.

a = 5.335 Å, b = 5.335 Å, c = 5.388 Å
α = 90.00°, β = 90.00°, γ = 90.00°
Fractional positions:
1 Sb 0.000 0.500 0.000
2 Sb 0.500 0.000 0.000
3 Nb 0.000 0.000 0.000
4 I 0.000 0.000 0.500
5 Rh 0.500 0.500 0.500

crystal system: tetragonal
symmetry: P4/mmm, No. 123
density of states at the Fermi level: 8.08 states/eV/f.u.
relative energy among the computed polymorphs: 0.317 eV per atom
energy: -4.46 eV/atom


Look up the density of states at the Fermi level of the ninth one. 7.25 states/eV/f.u.